1.
The following is a GGA-PBE calculation of a relaxed structure of LaDy2Th3, from the Alexandria database.

a = 6.217 Å, b = 7.178 Å, c = 9.486 Å
α = 112.23°, β = 89.78°, γ = 90.00°
Fractional coordinates of all 12 atoms:
1 La 0.750 0.867 0.000
2 Th 0.420 0.546 0.332
3 Th 0.080 0.214 0.668
4 Dy 0.085 0.703 0.661
5 Th 0.920 0.786 0.332
6 Th 0.580 0.454 0.668
7 Dy 0.415 0.042 0.339
8 La 0.250 0.133 0.000
9 Th 0.250 0.620 0.000
10 Dy 0.585 0.958 0.661
11 Dy 0.915 0.297 0.339
12 Th 0.750 0.380 0.000

Results
ΔH_f (0 K)	29	kJ/mol of formula units
raw total energy	-72.2	eV/cell

---

2.
The following is a GGA-PBE calculation of a relaxed structure of Pr2YGa2, from the Alexandria database.

a = 4.572 Å, b = 7.800 Å, c = 7.800 Å
α = 90.00°, β = 90.00°, γ = 90.00°
Fractional coordinates of all 10 atoms:
1 Ga 0.000 0.381 0.881
2 Ga 0.000 0.119 0.381
3 Y 0.000 0.000 0.000
4 Pr 0.500 0.674 0.826
5 Pr 0.500 0.826 0.326
6 Ga 0.000 0.619 0.119
7 Ga 0.000 0.881 0.619
8 Y 0.000 0.500 0.500
9 Pr 0.500 0.174 0.674
10 Pr 0.500 0.326 0.174

Results
ΔH_f (0 K)	-245	kJ/mol of formula units
raw total energy	-49.2	eV/cell

---

3.
The following is a GGA-PBE calculation of a relaxed structure of AcPuSnAu, from the Alexandria database.

a = 5.501 Å, b = 5.501 Å, c = 5.501 Å
α = 60.00°, β = 60.00°, γ = 60.00°
Fractional coordinates of all 4 atoms:
1 Sn 0.250 0.250 0.250
2 Au 0.750 0.750 0.750
3 Pu 0.000 0.000 0.000
4 Ac 0.500 0.500 0.500

Results
ΔH_f (0 K)	-186	kJ/mol of formula units
raw total energy	-27.7	eV/cell

---

4.
The following is a GGA-PBE calculation of a relaxed structure of Pm4Nd7Tm, from the Alexandria database.

a = 7.363 Å, b = 6.369 Å, c = 11.719 Å
α = 79.54°, β = 51.04°, γ = 90.00°
Fractional coordinates of all 12 atoms:
1 Pm 0.167 0.224 0.333
2 Nd 0.919 0.723 0.330
3 Nd 0.500 0.000 0.000
4 Tm 0.000 0.000 0.000
5 Nd 0.333 0.779 0.667
6 Pm 0.833 0.776 0.667
7 Pm 0.421 0.723 0.330
8 Nd 0.081 0.277 0.670
9 Nd 0.751 0.500 0.000
10 Nd 0.249 0.500 0.000
11 Nd 0.667 0.221 0.333
12 Pm 0.579 0.277 0.670

Results
ΔH_f (0 K)	14	kJ/mol of formula units
raw total energy	-56.7	eV/cell

---

5.
The following is a GGA-PBE calculation of a relaxed structure of RbIn12Sn7, from the Alexandria database.

a = 8.021 Å, b = 9.611 Å, c = 9.611 Å
α = 112.58°, β = 106.15°, γ = 106.15°
Fractional coordinates of all 20 atoms:
1 In 0.593 0.000 0.664
2 Sn 0.550 0.344 0.344
3 In 0.593 0.664 0.000
4 Sn 0.206 0.656 0.000
5 Sn 0.206 0.000 0.656
6 Sn 0.500 0.000 0.000
7 Sn 0.450 0.656 0.656
8 Sn 0.794 0.344 0.000
9 In 0.000 0.261 0.739
10 In 0.000 0.739 0.261
11 Sn 0.794 0.000 0.344
12 In 0.739 0.739 0.477
13 In 0.407 0.336 0.000
14 In 0.407 0.000 0.336
15 In 0.261 0.261 0.523
16 In 0.261 0.523 0.261
17 Rb 0.000 0.000 0.000
18 In 0.928 0.336 0.336
19 In 0.739 0.477 0.739
20 In 0.072 0.664 0.664

Results
ΔH_f (0 K)	69	kJ/mol of formula units
raw total energy	-61.1	eV/cell

---

6.
The following is a GGA-PBE calculation of a relaxed structure of Hf2ThHg, from the Alexandria database.

a = 3.199 Å, b = 3.199 Å, c = 11.343 Å
α = 81.89°, β = 81.89°, γ = 60.00°
Fractional coordinates of all 4 atoms:
1 Th 0.000 0.000 0.000
2 Hf 0.907 0.907 0.279
3 Hg 0.500 0.500 0.500
4 Hf 0.093 0.093 0.721

Results
ΔH_f (0 K)	127	kJ/mol of formula units
raw total energy	-26.3	eV/cell

---

7.
The following is a GGA-PBE calculation of a relaxed structure of YZrGaTc, from the Alexandria database.

a = 4.832 Å, b = 4.832 Å, c = 4.832 Å
α = 60.00°, β = 60.00°, γ = 60.00°
Fractional coordinates of all 4 atoms:
1 Ga 0.000 0.000 0.000
2 Tc 0.500 0.500 0.500
3 Zr 0.250 0.250 0.250
4 Y 0.750 0.750 0.750

Results
ΔH_f (0 K)	-116	kJ/mol of formula units
raw total energy	-29.6	eV/cell

---

8.
The following is a GGA-PBE calculation of a relaxed structure of HgPtCl5, from the Alexandria database.

a = 6.350 Å, b = 7.806 Å, c = 9.859 Å
α = 110.14°, β = 90.00°, γ = 114.00°
Fractional coordinates of all 14 atoms:
1 Cl 0.153 0.000 0.250
2 Cl 0.879 0.244 0.499
3 Cl 0.365 0.244 0.999
4 Hg 0.562 0.000 0.250
5 Pt 0.000 0.000 0.000
6 Hg 0.438 0.000 0.750
7 Cl 0.121 0.756 0.501
8 Cl 0.363 0.248 0.635
9 Pt 0.000 0.000 0.500
10 Cl 0.637 0.752 0.365
11 Cl 0.847 0.000 0.750
12 Cl 0.635 0.756 0.001
13 Cl 0.115 0.752 0.865
14 Cl 0.885 0.248 0.135

Results
raw total energy	-37.4	eV/cell
raw formation energy	-303	kJ/mol of formula units

---

9.
The following is a GGA-PBE calculation of a relaxed structure of KLiCu2, from the Alexandria database.

a = 4.837 Å, b = 4.837 Å, c = 4.837 Å
α = 119.64°, β = 119.64°, γ = 90.63°
Fractional coordinates of all 4 atoms:
1 K 0.500 0.500 0.000
2 Cu 0.000 0.000 0.000
3 Li 0.750 0.250 0.500
4 Cu 0.250 0.750 0.500

Results
ΔH_f (0 K)	178	kJ/mol of formula units
raw total energy	-9.4	eV/cell

---

10.
The following is a GGA-PBE calculation of a relaxed structure of CdMo2As, from the Alexandria database.

a = 5.324 Å, b = 5.324 Å, c = 5.324 Å
α = 143.88°, β = 129.19°, γ = 63.91°
Fractional coordinates of all 4 atoms:
1 Mo 0.979 0.979 0.000
2 Mo 0.746 0.246 0.500
3 Cd 0.254 0.754 0.500
4 As 0.521 0.521 0.000

Results
ΔH_f (0 K)	148	kJ/mol of formula units
raw total energy	-25.7	eV/cell

---

11.
The following is a GGA-PBE calculation of a relaxed structure of HgH2Ir, from the Alexandria database.

a = 2.855 Å, b = 2.855 Å, c = 7.274 Å
α = 78.68°, β = 78.68°, γ = 60.00°
Fractional coordinates of all 4 atoms:
1 Ir 0.000 0.000 0.000
2 H 0.291 0.291 0.128
3 Hg 0.500 0.500 0.500
4 H 0.709 0.709 0.872

Results
raw total energy	-14.9	eV/cell

---

12.
The following is a GGA-PBE calculation of a relaxed structure of AcSmTmGa, from the Alexandria database.

a = 5.492 Å, b = 5.492 Å, c = 5.492 Å
α = 60.00°, β = 60.00°, γ = 60.00°
Fractional coordinates of all 4 atoms:
1 Tm 0.000 0.000 0.000
2 Sm 0.500 0.500 0.500
3 Ac 0.750 0.750 0.750
4 Ga 0.250 0.250 0.250

Results
ΔH_f (0 K)	21	kJ/mol of formula units
raw total energy	-16.1	eV/cell

---

Q: Look up the raw total energy of the fifth one.
A: -61.1 eV/cell